Entry from the Alexandria database: a relaxed LaPN2 crystal (GGA-PBEsol).

## Properties
Energy relative to the elements, uncorrected   0.0609 eV per atom
Crystal system   trigonal
Calculated volume   48.67 Å³/cell
Total DFT energy (no corrections)   -6.987 eV per atom
Theoretical density   6.8 g/cm³

Cell: 7.082 7.082 7.082 Å, 23.27 23.27 23.27°
Atoms (fractional coordinates):
La (0.000, 0.000, 0.000)
P (0.500, 0.500, 0.500)
N (0.122, 0.122, 0.122)
N (0.878, 0.878, 0.878)